Entry from the Alexandria database: KVO2 after structural relaxation (PBE+U).

abc: 6.9969 6.9969 6.9969
angles: 28.23 28.23 28.23
Last column: nearest neighbours and their distance in Å.
Fractional positions:
K1 0.0000 0.0000 0.0000  4 O 2.48-2.75
V1 0.4955 0.4955 0.4955  1 O 1.76
O1 0.4081 0.4081 0.4081  1 V 1.76
O2 0.8636 0.8636 0.8636  3 V 2.09

Calculated values
Spin magnetization: 2.00 μB per formula unit
SG: R3m
Calculated total energy: -6.19 eV/atom